Material: FeCuIr2
Method: DFT, PBE-GGA
State: relaxed

Lattice parameters (Å, degrees): 4.656 4.656 4.656 132.86 132.86 68.87
Last column: magnetic moment on the atom in μB.
Element x y z (fractional)
Fe 0.750 0.250 0.500  2.53
Ir 0.250 0.750 0.500  -0.11
Cu 0.500 0.500 0.000  0.04
Ir 0.000 0.000 0.000  -0.08

Summary:
For the uncorrected energy, the calculation gives -7.499 eV per atom. As for the magnetic moment: 2.39 Bohr magnetons per cell. As for the energy above the most stable polymorph in this dataset: 6.03 kJ per mole of atoms. As for the formation energy from the elements: 71 meV per atom.